Entry 1:
## LiUBiO2 (PBE)

Data for a relaxed structure of LiUBiO2.

The calculation puts the uncorrected formation energy at -1.97 eV/atom.

The structure belongs to space group I4mm (No. 107); the cell edges are 3.8426, 3.8426 and 12.7005 Å and the angles 90.00°, 90.00° and 90.00°. The inequivalent atoms are Li at (0.0000, 0.0000, 0.0000), U at (0.0000, 0.0000, 0.3620), Bi at (0.0000, 0.0000, 0.6910) and O at (0.0000, 0.5000, 0.4337).

Entry 2:
## KLiBe2F8 (PBE)

Data for a relaxed structure of KLiBe2F8.

The calculation puts the uncorrected formation energy at -2.53 eV/atom.

The structure belongs to space group C2/m (No. 12); the cell edges are 8.0522, 5.4874 and 7.5221 Å and the angles 90.00°, 110.53° and 90.00°. The inequivalent atoms are K at (0.0000, 0.0000, 0.0000), Li at (0.0000, 0.0000, 0.5000), Be at (0.0602, 0.5000, 0.2943), F at (0.0417, 0.2642, 0.7100), F at (0.1209, 0.5000, 0.1064) and F at (0.2404, 0.5000, 0.4597).

Entry 3:
## Sc3TlN (PBE)

Data for a relaxed structure of Sc3TlN.

The calculation puts the uncorrected formation energy at -0.56 eV/atom.

The structure belongs to space group P2_1/m (No. 11); the cell edges are 4.8539, 6.4123 and 7.5799 Å and the angles 90.00°, 106.68° and 90.00°. The inequivalent atoms are Sc at (0.1158, 0.2500, 0.1226), Sc at (0.3123, 0.5042, 0.6556), Tl at (0.1601, 0.7500, 0.2784) and N at (0.4511, 0.7500, 0.8174).

Entry 4:
## Ac6Te5Pd (PBE)

Data for a relaxed structure of Ac6Te5Pd.

The calculation puts the uncorrected formation energy at -1.38 eV/atom.

The structure belongs to space group C2/m (No. 12); the cell edges are 8.2100, 14.1357 and 8.1345 Å and the angles 90.00°, 109.75° and 90.00°. The inequivalent atoms are Ac at (0.2317, 0.0000, 0.2546), Ac at (0.2322, 0.1562, 0.7335), Te at (0.0000, 0.1795, 0.0000), Te at (0.0000, 0.3359, 0.5000), Te at (0.0000, 0.5000, 0.0000) and Pd at (0.0000, 0.0000, 0.5000).

Entry 5:
## GdDyMgTc (PBE)

Data for a relaxed structure of GdDyMgTc.

Its calculated formation energy is 0.00 eV per atom.

The structure belongs to space group F-43m (No. 216); the cell edges are 7.1404, 7.1404 and 7.1404 Å and the angles 90.00°, 90.00° and 90.00°. The inequivalent atoms are Gd at (0.0000, 0.0000, 0.0000), Dy at (0.0000, 0.0000, 0.5000), Mg at (0.2500, 0.2500, 0.2500) and Tc at (0.2500, 0.2500, 0.7500).

Entry 6:
## AlSiSe2 (PBE)

Data for a relaxed structure of AlSiSe2.

The calculation puts the uncorrected formation energy at -0.14 eV/atom.

The structure belongs to space group R-3m (No. 166, hexagonal axes); the cell edges are 3.6345, 3.6345 and 24.0926 Å and the angles 90.00°, 90.00° and 120.00°. The inequivalent atoms are Al at (0.0000, 0.0000, 0.0000), Si at (0.0000, 0.0000, 0.5000) and Se at (0.0000, 0.0000, 0.3926).

Entry 7:
## NbBiAs3 (PBE)

Data for a relaxed structure of NbBiAs3.

Its calculated formation energy is 0.31 eV per atom.

The structure belongs to space group Pm-3m (No. 221); the cell edges are 5.0412, 5.0412 and 5.0412 Å and the angles 90.00°, 90.00° and 90.00°. The inequivalent atoms are Nb at (0.0000, 0.0000, 0.0000), Bi at (0.5000, 0.5000, 0.5000) and As at (0.0000, 0.0000, 0.5000).

Entry 8:
## Ce4Bi2SbAs (PBE)

Data for a relaxed structure of Ce4Bi2SbAs.

The calculation puts the uncorrected formation energy at -0.99 eV/atom.

The structure belongs to space group P2/m (No. 10); the cell edges are 7.7471, 4.4579 and 7.7966 Å and the angles 90.00°, 109.22° and 90.00°. The inequivalent atoms are Ce at (0.2350, 0.0000, 0.2309), Ce at (0.2454, 0.5000, 0.7631), Bi at (0.0000, 0.0000, 0.5000), Bi at (0.5000, 0.5000, 0.5000), Sb at (0.5000, 0.0000, 0.0000) and As at (0.0000, 0.5000, 0.0000).

Entry 9:
## MgSc2As (PBE)

Data for a relaxed structure of MgSc2As.

Its calculated formation energy is -0.51 eV per atom.

The structure belongs to space group Imm2 (No. 44); the cell edges are 3.7456, 4.3774 and 10.0940 Å and the angles 90.00°, 90.00° and 90.00°. The inequivalent atoms are Mg at (0.0000, 0.0000, 0.0000), Sc at (0.0000, 0.0000, 0.4552), Sc at (0.0000, 0.5000, 0.2248) and As at (0.0000, 0.5000, 0.7210).

Entry 10:
## Dy7Ho2Tm (PBE)

Data for a relaxed structure of Dy7Ho2Tm.

Its calculated formation energy is 0.02 eV per atom.

The structure belongs to space group P-1 (No. 2); the cell edges are 6.1005, 6.1105 and 9.3170 Å and the angles 102.60°, 109.03° and 99.55°. The inequivalent atoms are Dy at (0.0000, 0.0000, 0.0000), Dy at (0.1992, 0.9997, 0.4000), Dy at (0.2000, 0.5000, 0.8998), Dy at (0.4007, 0.5004, 0.3007), Ho at (0.4002, 0.9995, 0.7996) and Tm at (0.0000, 0.5000, 0.5000).